This record from Alexandria via LeMat-Bulk describes crystalline AlInPO2 at its relaxed geometry. The functional is PBE.

## Properties
calculated total energy	-4.39	eV/atom
energy relative to the elements, uncorrected	-0.02	eV/atom
density	3.8	g/cm³
distance to the lowest polymorph of the same formula	4.77	eV per formula unit
crystal system	tetragonal
SG	P4/mmm

Lattice parameters (Å, degrees): 4.006 4.006 5.576 90.00 90.00 90.00
Last column: magnetic moment on the atom in μB.
Atoms (fractional coordinates):
P  0.000  0.000  0.500  0.21
In  0.000  0.000  0.000  0.03
O  0.500  0.000  0.000  0.38
O  0.000  0.500  0.000  0.38
Al  0.500  0.500  0.500  -0.02